VASP calculation (GGA-PBE) on crystalline La3PmGe3 at its relaxed geometry.

Cell: 7.829 7.829 7.885 Å, 91.73 91.73 114.25°
Fractional positions:
La1 0.167 0.833 0.000
La2 0.228 0.772 0.500
La3 0.374 0.374 0.132
La4 0.626 0.626 0.868
La5 0.772 0.228 0.500
La6 0.833 0.167 0.000
Pm1 0.244 0.244 0.593
Pm2 0.756 0.756 0.407
Ge1 0.062 0.062 0.273
Ge2 0.158 0.498 0.798
Ge3 0.498 0.158 0.798
Ge4 0.502 0.842 0.202
Ge5 0.842 0.502 0.202
Ge6 0.938 0.938 0.727

Results
D(E_F): 0.6004 states/eV/atom
E_tot: -0.1965 hartree per atom
symmetry: C2/m, No. 12
energy relative to the elements: -0.578 eV per atom


VASP calculation (GGA-PBE) on crystalline LaPm6Ge4 at its relaxed geometry.

Cell: 7.842 7.842 7.842 Å, 120.23 120.23 89.60°
Fractional positions:
La1 0.000 0.000 0.000
Pm1 0.000 0.500 0.500
Pm2 0.172 0.172 0.690
Pm3 0.482 0.482 0.310
Pm4 0.500 0.000 0.500
Pm5 0.518 0.828 0.000
Pm6 0.828 0.518 0.000
Ge1 0.187 0.627 0.000
Ge2 0.373 0.373 0.560
Ge3 0.627 0.187 0.000
Ge4 0.813 0.813 0.440

Results
D(E_F): 1.0151 states/eV/atom
E_tot: -0.1921 hartree per atom
symmetry: I-42m, No. 121
energy relative to the elements: -0.508 eV per atom


VASP calculation (GGA-PBE) on crystalline LaPmGe at its relaxed geometry.

Cell: 4.569 4.569 8.402 Å, 90.00 90.00 90.00°
Fractional positions:
La1 0.250 0.250 0.140
La2 0.750 0.750 0.860
Pm1 0.250 0.750 0.500
Pm2 0.750 0.250 0.500
Ge1 0.250 0.250 0.766
Ge2 0.750 0.750 0.234

Results
D(E_F): 1.2740 states/eV/atom
E_tot: -0.1968 hartree per atom
symmetry: P4/nmm, No. 129
energy relative to the elements: -0.591 eV per atom


VASP calculation (GGA-PBE) on crystalline LaPmGe at its relaxed geometry.

Cell: 5.100 5.100 5.100 Å, 60.00 60.00 60.00°
Fractional positions:
La1 0.000 0.000 0.000
Pm1 0.500 0.500 0.500
Ge1 0.750 0.750 0.750

Results
D(E_F): 1.1624 states/eV/atom
E_tot: -0.1953 hartree per atom
symmetry: F-43m, No. 216
energy relative to the elements: -0.548 eV per atom


VASP calculation (GGA-PBE) on crystalline LaPm2Ge at its relaxed geometry.

Cell: 4.857 4.857 4.732 Å, 90.00 90.00 90.00°
Fractional positions:
La1 0.000 0.000 0.000
Pm1 0.000 0.500 0.500
Pm2 0.500 0.000 0.500
Ge1 0.500 0.500 0.000

Results
D(E_F): 1.1457 states/eV/atom
E_tot: -0.1882 hartree per atom
symmetry: P4/mmm, No. 123
energy relative to the elements: -0.358 eV per atom


VASP calculation (GGA-PBE) on crystalline La2PmGe at its relaxed geometry.

Cell: 4.060 4.060 7.411 Å, 90.00 90.00 90.00°
Fractional positions:
La1 0.000 0.000 0.203
La2 0.000 0.000 0.797
Pm1 0.500 0.500 0.500
Ge1 0.500 0.500 0.000

Results
D(E_F): 1.5111 states/eV/atom
E_tot: -0.1892 hartree per atom
symmetry: P4/mmm, No. 123
energy relative to the elements: -0.342 eV per atom


VASP calculation (GGA-PBE) on crystalline LaPmGe4 at its relaxed geometry.

Cell: 8.940 15.666 4.215 Å, 90.00 90.00 90.00°
Fractional positions:
La1 0.111 0.135 0.000
La2 0.389 0.635 0.000
La3 0.611 0.365 0.000
La4 0.889 0.865 0.000
Pm1 0.137 0.414 0.000
Pm2 0.363 0.914 0.000
Pm3 0.637 0.086 0.000
Pm4 0.863 0.586 0.000
Ge1 0.043 0.288 0.500
Ge2 0.127 0.967 0.500
Ge3 0.132 0.572 0.500
Ge4 0.179 0.806 0.500
Ge5 0.321 0.306 0.500
Ge6 0.368 0.072 0.500
Ge7 0.373 0.467 0.500
Ge8 0.457 0.788 0.500
Ge9 0.543 0.212 0.500
Ge10 0.627 0.533 0.500
Ge11 0.632 0.928 0.500
Ge12 0.679 0.694 0.500
Ge13 0.821 0.194 0.500
Ge14 0.868 0.428 0.500
Ge15 0.873 0.033 0.500
Ge16 0.957 0.712 0.500

Results
D(E_F): 0.2904 states/eV/atom
E_tot: -0.1924 hartree per atom
symmetry: Pbam, No. 55
energy relative to the elements: -0.546 eV per atom


VASP calculation (GGA-PBE) on crystalline La3Pm2Ge2 at its relaxed geometry.

Cell: 6.560 6.560 8.645 Å, 109.40 109.40 38.42°
Fractional positions:
La1 0.000 0.000 0.000
La2 0.132 0.132 0.443
La3 0.868 0.868 0.557
Pm1 0.348 0.348 0.190
Pm2 0.652 0.652 0.810
Ge1 0.322 0.322 0.804
Ge2 0.678 0.678 0.196

Results
D(E_F): 1.0199 states/eV/atom
E_tot: -0.1951 hartree per atom
symmetry: C2/m, No. 12
energy relative to the elements: -0.521 eV per atom


VASP calculation (GGA-PBE) on crystalline LaPm3Ge at its relaxed geometry.

Cell: 10.976 4.066 14.387 Å, 90.00 90.00 90.00°
Fractional positions:
La1 0.179 0.250 0.003
La2 0.321 0.750 0.503
La3 0.679 0.250 0.497
La4 0.821 0.750 0.997
Pm1 0.049 0.250 0.590
Pm2 0.083 0.750 0.806
Pm3 0.181 0.750 0.231
Pm4 0.319 0.250 0.731
Pm5 0.417 0.250 0.306
Pm6 0.451 0.750 0.090
Pm7 0.549 0.250 0.910
Pm8 0.583 0.750 0.694
Pm9 0.681 0.750 0.269
Pm10 0.819 0.250 0.769
Pm11 0.917 0.250 0.194
Pm12 0.951 0.750 0.410
Ge1 0.161 0.250 0.391
Ge2 0.339 0.750 0.891
Ge3 0.661 0.250 0.109
Ge4 0.839 0.750 0.609

Results
D(E_F): 1.5044 states/eV/atom
E_tot: -0.1856 hartree per atom
symmetry: Pnma, No. 62
energy relative to the elements: -0.292 eV per atom


VASP calculation (GGA-PBE) on crystalline La5Pm2Ge5 at its relaxed geometry.

Cell: 7.542 7.542 12.631 Å, 106.45 106.45 33.40°
Fractional positions:
La1 0.000 0.000 0.000
La2 0.158 0.158 0.552
La3 0.238 0.238 0.853
La4 0.762 0.762 0.147
La5 0.842 0.842 0.448
Pm1 0.457 0.457 0.714
Pm2 0.543 0.543 0.286
Ge1 0.190 0.190 0.302
Ge2 0.384 0.384 0.078
Ge3 0.500 0.500 0.500
Ge4 0.616 0.616 0.922
Ge5 0.810 0.810 0.698

Results
D(E_F): 0.6000 states/eV/atom
E_tot: -0.2009 hartree per atom
symmetry: C2/m, No. 12
energy relative to the elements: -0.697 eV per atom


VASP calculation (GGA-PBE) on crystalline La2Pm6Ge3 at its relaxed geometry.

Cell: 8.952 8.952 5.016 Å, 90.00 90.00 120.00°
Fractional positions:
La1 0.333 0.667 0.000
La2 0.667 0.333 0.000
Pm1 0.000 0.278 0.500
Pm2 0.000 0.767 0.000
Pm3 0.233 0.233 0.000
Pm4 0.278 0.000 0.500
Pm5 0.722 0.722 0.500
Pm6 0.767 0.000 0.000
Ge1 0.000 0.603 0.500
Ge2 0.397 0.397 0.500
Ge3 0.603 0.000 0.500

Results
D(E_F): 1.2904 states/eV/atom
E_tot: -0.1845 hartree per atom
symmetry: P-62m, No. 189
energy relative to the elements: -0.273 eV per atom


VASP calculation (GGA-PBE) on crystalline LaPmGe at its relaxed geometry.

Cell: 8.228 8.228 4.399 Å, 90.00 90.00 120.00°
Fractional positions:
La1 0.000 0.411 0.000
La2 0.411 0.000 0.000
La3 0.589 0.589 0.000
Pm1 0.000 0.737 0.500
Pm2 0.263 0.263 0.500
Pm3 0.737 0.000 0.500
Ge1 0.000 0.000 0.000
Ge2 0.333 0.667 0.500
Ge3 0.667 0.333 0.500

Results
D(E_F): 1.2999 states/eV/atom
E_tot: -0.1984 hartree per atom
symmetry: P-62m, No. 189
energy relative to the elements: -0.633 eV per atom


Number 1: calculated volume 440 Å³ per cell. Number 2: calculated volume 340 Å³ per cell. Number 3: calculated volume 175 Å³ per cell. Number 4: calculated volume 94 Å³ per cell. Number 5: calculated volume 112 Å³ per cell. Number 6: calculated volume 122 Å³ per cell. Number 7: calculated volume 590 Å³ per cell. Number 8: calculated volume 216 Å³ per cell. Number 9: calculated volume 642 Å³ per cell. Number 10: calculated volume 378 Å³ per cell. Number 11: calculated volume 348 Å³ per cell. Number 12: calculated volume 258 Å³ per cell.